No. 1
The following is a DFT calculation (PBE) of crystalline Sr2ZnCd at its relaxed geometry.

Calculated values
crystal system: orthorhombic
mass density: 3.3 Mg/m³
space group: Immm, No. 71
formation enthalpy at 0 K: 0.437 eV per atom

a b c (Å): 7.7484 7.7484 7.7484
angles (deg): 150.61 127.94 60.91
Sites, in units of the cell vectors:
Sr 0.2387 0.2387 0.0000
Sr 0.7613 0.7613 0.0000
Zn 0.0000 0.0000 0.0000
Cd 0.5000 0.5000 0.0000

=====

No. 2
The following is a DFT calculation (PBE) of crystalline Sr3ZnCd2 at its relaxed geometry.

Calculated values
crystal system: orthorhombic
mass density: 4.8 Mg/m³
space group: Cmmm, No. 65
formation enthalpy at 0 K: -0.279 eV per atom

a b c (Å): 8.9936 8.9936 3.9693
angles (deg): 90.00 90.00 142.97
Sites, in units of the cell vectors:
Sr 0.0000 0.0000 0.0000
Sr 0.3383 0.6617 0.0000
Sr 0.6617 0.3383 0.0000
Zn 0.5000 0.5000 0.5000
Cd 0.1701 0.8299 0.5000
Cd 0.8299 0.1701 0.5000

=====

No. 3
The following is a DFT calculation (PBE) of crystalline SrZnCd2 at its relaxed geometry.

Calculated values
crystal system: monoclinic
mass density: 5.8 Mg/m³
space group: C2/m, No. 12
formation enthalpy at 0 K: 0.022 eV per atom

a b c (Å): 6.4174 6.4174 3.4874
angles (deg): 102.70 102.70 121.96
Sites, in units of the cell vectors:
Sr 0.0000 0.0000 0.0000
Zn 0.5000 0.5000 0.0000
Cd 0.0000 0.5000 0.5000
Cd 0.5000 0.0000 0.5000

=====

No. 4
The following is a DFT calculation (PBE) of crystalline SrZn2Cd2 at its relaxed geometry.

Calculated values
crystal system: tetragonal
mass density: 6.3 Mg/m³
space group: P4/mbm, No. 127
formation enthalpy at 0 K: -0.016 eV per atom

a b c (Å): 8.4296 8.4296 3.3118
angles (deg): 90.00 90.00 90.00
Sites, in units of the cell vectors:
Sr 0.0000 0.0000 0.0000
Sr 0.5000 0.5000 0.0000
Zn 0.1706 0.3294 0.5000
Zn 0.3294 0.8294 0.5000
Zn 0.6706 0.1706 0.5000
Zn 0.8294 0.6706 0.5000
Cd 0.1254 0.6254 0.0000
Cd 0.3746 0.1254 0.0000
Cd 0.6254 0.8746 0.0000
Cd 0.8746 0.3746 0.0000

=====

No. 5
The following is a DFT calculation (PBE) of crystalline Sr2Zn2Cd at its relaxed geometry.

Calculated values
crystal system: tetragonal
mass density: 4.5 Mg/m³
space group: I4/mmm, No. 139
formation enthalpy at 0 K: -0.110 eV per atom

a b c (Å): 5.9327 5.9327 5.9327
angles (deg): 116.72 116.72 95.79
Sites, in units of the cell vectors:
Sr 0.2500 0.7500 0.5000
Sr 0.7500 0.2500 0.5000
Zn 0.1497 0.1497 0.0000
Zn 0.8503 0.8503 0.0000
Cd 0.5000 0.5000 0.0000

=====

No. 6
The following is a DFT calculation (PBE) of crystalline Sr3Zn3Cd2 at its relaxed geometry.

Calculated values
crystal system: orthorhombic
mass density: 5.0 Mg/m³
space group: Cmcm, No. 63
formation enthalpy at 0 K: -0.256 eV per atom

a b c (Å): 6.3111 6.3111 15.8460
angles (deg): 90.00 90.00 134.30
Sites, in units of the cell vectors:
Sr 0.0950 0.9050 0.6067
Sr 0.0950 0.9050 0.8933
Sr 0.3832 0.6168 0.7500
Sr 0.6168 0.3832 0.2500
Sr 0.9050 0.0950 0.1067
Sr 0.9050 0.0950 0.3933
Zn 0.3234 0.6766 0.2500
Zn 0.3974 0.6026 0.5373
Zn 0.3974 0.6026 0.9627
Zn 0.6026 0.3974 0.0373
Zn 0.6026 0.3974 0.4627
Zn 0.6766 0.3234 0.7500
Cd 0.2025 0.7975 0.0941
Cd 0.2025 0.7975 0.4059
Cd 0.7975 0.2025 0.5941
Cd 0.7975 0.2025 0.9059

=====

No. 7
The following is a DFT calculation (PBE) of crystalline Sr2Zn2Cd3 at its relaxed geometry.

Calculated values
crystal system: monoclinic
mass density: 5.8 Mg/m³
space group: C2/m, No. 12
formation enthalpy at 0 K: -0.245 eV per atom

a b c (Å): 6.1354 6.1354 7.9635
angles (deg): 114.68 114.68 43.47
Sites, in units of the cell vectors:
Sr 0.1362 0.1362 0.2697
Sr 0.8638 0.8638 0.7303
Zn 0.1452 0.1452 0.7009
Zn 0.8548 0.8548 0.2991
Cd 0.3667 0.3667 0.0636
Cd 0.5000 0.5000 0.5000
Cd 0.6333 0.6333 0.9364

=====

No. 8
The following is a DFT calculation (PBE) of crystalline SrZn2Cd5 at its relaxed geometry.

Calculated values
crystal system: orthorhombic
mass density: 6.9 Mg/m³
space group: Immm, No. 71
formation enthalpy at 0 K: -0.164 eV per atom

a b c (Å): 7.0396 7.0396 7.0396
angles (deg): 144.02 109.75 81.54
Sites, in units of the cell vectors:
Sr 0.0000 0.0000 0.0000
Zn 0.2418 0.7418 0.5000
Zn 0.7582 0.2582 0.5000
Cd 0.1614 0.3530 0.8084
Cd 0.4554 0.6470 0.8084
Cd 0.5000 0.0000 0.5000
Cd 0.5446 0.3530 0.1916
Cd 0.8386 0.6470 0.1916